i) Here is a relaxed SrLiAc crystal from Alexandria via LeMat-Bulk. Energies are from GGA-PBE.

a = 6.768 Å, b = 6.768 Å, c = 8.416 Å
α = 126.85°, β = 126.85°, γ = 59.78°
Sites, in units of the cell vectors:
Sr 0.158 0.158 0.317
Sr 0.842 0.842 0.683
Li 0.253 0.747 0.500
Li 0.747 0.253 0.500
Ac 0.331 0.331 0.998
Ac 0.669 0.669 0.002

Calculated values
calculated density	4.4	g cm⁻³
symmetry	No. 12
M_tot	0.26	μB/atom

ii) Here is a relaxed SrLiAc crystal from Alexandria via LeMat-Bulk. Energies are from GGA-PBE.

a = 7.621 Å, b = 7.621 Å, c = 7.621 Å
α = 148.77°, β = 148.77°, γ = 44.75°
Sites, in units of the cell vectors:
Sr 0.000 0.000 0.000
Li 0.646 0.646 0.000
Ac 0.289 0.289 0.000

Calculated values
calculated density	4.5	g cm⁻³
symmetry	No. 107
M_tot	0.00	μB/atom

iii) Here is a relaxed SrLiAc crystal from Alexandria via LeMat-Bulk. Energies are from GGA-PBE.

a = 6.065 Å, b = 6.065 Å, c = 3.873 Å
α = 90.00°, β = 90.00°, γ = 120.00°
Sites, in units of the cell vectors:
Sr 0.000 0.000 0.000
Li 0.667 0.333 0.096
Ac 0.333 0.667 0.532

Calculated values
calculated density	4.3	g cm⁻³
symmetry	No. 156
M_tot	0.00	μB/atom

Ordering by calculated energy gives the sequence ii), i), iii), with the first entry being the most stable.

i) Here is a relaxed LiAc2Tc crystal from Alexandria via LeMat-Bulk. Energies are from GGA-PBE.

a = 5.354 Å, b = 5.354 Å, c = 5.354 Å
α = 60.00°, β = 60.00°, γ = 60.00°
Sites, in units of the cell vectors:
Li 0.000 0.000 0.000
Ac 0.250 0.250 0.250
Ac 0.750 0.750 0.750
Tc 0.500 0.500 0.500

Calculated values
calculated density	8.6	g cm⁻³
symmetry	No. 225
M_tot	0.00	μB/atom

ii) Here is a relaxed LiAc2Tc crystal from Alexandria via LeMat-Bulk. Energies are from GGA-PBE.

a = 11.524 Å, b = 11.524 Å, c = 11.524 Å
α = 17.82°, β = 17.82°, γ = 17.82°
Sites, in units of the cell vectors:
Li 0.000 0.000 0.000
Ac 0.422 0.422 0.422
Ac 0.578 0.578 0.578
Tc 0.500 0.500 0.500

Calculated values
calculated density	7.4	g cm⁻³
symmetry	No. 166
M_tot	0.00	μB/atom

Ordering by calculated energy gives the sequence i), ii), with the first entry being the most stable.

i) Here is a relaxed LiAc2Te3 crystal from Alexandria via LeMat-Bulk. Energies are from GGA-PBE.

a = 9.655 Å, b = 9.655 Å, c = 9.655 Å
α = 153.71°, β = 148.95°, γ = 41.13°
Sites, in units of the cell vectors:
Li 0.000 0.000 0.000
Ac 0.359 0.359 0.000
Ac 0.641 0.641 0.000
Te 0.172 0.172 0.000
Te 0.500 0.000 0.500
Te 0.828 0.828 0.000

Calculated values
calculated density	6.8	g cm⁻³
symmetry	No. 71
M_tot	0.00	μB/atom

ii) Here is a relaxed LiAc2Te3 crystal from Alexandria via LeMat-Bulk. Energies are from GGA-PBE.

a = 12.795 Å, b = 4.588 Å, c = 13.414 Å
α = 90.00°, β = 90.00°, γ = 90.00°
Sites, in units of the cell vectors:
Li 0.246 0.250 0.213
Li 0.254 0.750 0.713
Li 0.746 0.250 0.287
Li 0.754 0.750 0.787
Ac 0.023 0.750 0.317
Ac 0.191 0.750 0.992
Ac 0.309 0.250 0.492
Ac 0.477 0.250 0.817
Ac 0.523 0.750 0.183
Ac 0.691 0.750 0.508
Ac 0.809 0.250 0.008
Ac 0.977 0.250 0.683
Te 0.052 0.250 0.127
Te 0.120 0.750 0.554
Te 0.210 0.250 0.808
Te 0.290 0.750 0.308
Te 0.380 0.250 0.054
Te 0.448 0.750 0.627
Te 0.552 0.250 0.373
Te 0.620 0.750 0.946
Te 0.710 0.250 0.692
Te 0.790 0.750 0.192
Te 0.880 0.250 0.446
Te 0.948 0.750 0.873

Calculated values
calculated density	7.1	g cm⁻³
symmetry	No. 62
M_tot	0.09	μB/atom

Ordering by calculated energy gives the sequence ii), i), with the first entry being the most stable.

i) Here is a relaxed LiAcTe2 crystal from Alexandria via LeMat-Bulk. Energies are from GGA-PBE.

a = 7.645 Å, b = 7.645 Å, c = 7.645 Å
α = 35.71°, β = 35.71°, γ = 35.71°
Sites, in units of the cell vectors:
Li 0.000 0.000 0.000
Ac 0.500 0.500 0.500
Te 0.257 0.257 0.257
Te 0.743 0.743 0.743

Calculated values
calculated density	6.0	g cm⁻³
symmetry	No. 166
M_tot	0.00	μB/atom

ii) Here is a relaxed LiAcTe2 crystal from Alexandria via LeMat-Bulk. Energies are from GGA-PBE.

a = 5.530 Å, b = 5.530 Å, c = 4.057 Å
α = 90.00°, β = 90.00°, γ = 90.00°
Sites, in units of the cell vectors:
Li 0.000 0.000 0.000
Ac 0.500 0.500 0.000
Te 0.000 0.500 0.500
Te 0.500 0.000 0.500

Calculated values
calculated density	6.5	g cm⁻³
symmetry	No. 123
M_tot	0.00	μB/atom

iii) Here is a relaxed LiAcTe2 crystal from Alexandria via LeMat-Bulk. Energies are from GGA-PBE.

a = 7.898 Å, b = 8.456 Å, c = 7.950 Å
α = 90.00°, β = 101.09°, γ = 90.00°
Sites, in units of the cell vectors:
Li 0.106 0.153 0.080
Li 0.106 0.347 0.580
Li 0.894 0.653 0.420
Li 0.894 0.847 0.920
Ac 0.304 0.556 0.190
Ac 0.304 0.944 0.690
Ac 0.696 0.056 0.310
Ac 0.696 0.444 0.810
Te 0.078 0.619 0.776
Te 0.078 0.881 0.276
Te 0.421 0.231 0.993
Te 0.421 0.269 0.493
Te 0.579 0.731 0.507
Te 0.579 0.769 0.007
Te 0.922 0.119 0.724
Te 0.922 0.381 0.224

Calculated values
calculated density	6.2	g cm⁻³
symmetry	No. 14
M_tot	0.00	μB/atom

Ordering by calculated energy gives the sequence iii), i), ii), with the first entry being the most stable.

i) Here is a relaxed LiAcTe2 crystal from Alexandria via LeMat-Bulk. Energies are from GGA-PBE.

a = 8.232 Å, b = 8.232 Å, c = 8.232 Å
α = 32.80°, β = 32.80°, γ = 32.80°
Sites, in units of the cell vectors:
Li 0.000 0.000 0.000
Ac 0.815 0.815 0.815
Te 0.230 0.230 0.230
Te 0.395 0.395 0.395

Calculated values
calculated density	5.6	g cm⁻³
symmetry	No. 160
M_tot	0.00	μB/atom

ii) Here is a relaxed LiAcTe2 crystal from Alexandria via LeMat-Bulk. Energies are from GGA-PBE.

a = 10.430 Å, b = 10.430 Å, c = 10.430 Å
α = 21.81°, β = 21.81°, γ = 21.81°
Sites, in units of the cell vectors:
Li 0.000 0.000 0.000
Ac 0.500 0.500 0.500
Te 0.395 0.395 0.395
Te 0.605 0.605 0.605

Calculated values
calculated density	5.9	g cm⁻³
symmetry	No. 166
M_tot	0.00	μB/atom

iii) Here is a relaxed LiAcTe2 crystal from Alexandria via LeMat-Bulk. Energies are from GGA-PBE.

a = 5.600 Å, b = 5.600 Å, c = 5.600 Å
α = 60.00°, β = 60.00°, γ = 60.00°
Sites, in units of the cell vectors:
Li 0.000 0.000 0.000
Ac 0.500 0.500 0.500
Te 0.250 0.250 0.250
Te 0.750 0.750 0.750

Calculated values
calculated density	6.5	g cm⁻³
symmetry	No. 225
M_tot	0.00	μB/atom

Ordering by calculated energy gives the sequence i), iii), ii), with the first entry being the most stable.

i) Here is a relaxed LiAc2Te crystal from Alexandria via LeMat-Bulk. Energies are from GGA-PBE.

a = 12.081 Å, b = 12.081 Å, c = 12.081 Å
α = 19.81°, β = 19.81°, γ = 19.81°
Sites, in units of the cell vectors:
Li 0.000 0.000 0.000
Ac 0.103 0.103 0.103
Ac 0.897 0.897 0.897
Te 0.500 0.500 0.500

Calculated values
calculated density	5.5	g cm⁻³
symmetry	No. 166
M_tot	0.00	μB/atom

ii) Here is a relaxed LiAc2Te crystal from Alexandria via LeMat-Bulk. Energies are from GGA-PBE.

a = 5.768 Å, b = 5.768 Å, c = 5.768 Å
α = 60.00°, β = 60.00°, γ = 60.00°
Sites, in units of the cell vectors:
Li 0.000 0.000 0.000
Ac 0.250 0.250 0.250
Ac 0.750 0.750 0.750
Te 0.500 0.500 0.500

Calculated values
calculated density	7.2	g cm⁻³
symmetry	No. 225
M_tot	0.01	μB/atom

Ordering by calculated energy gives the sequence ii), i), with the first entry being the most stable.

i) Here is a relaxed LiAc3Te4 crystal from Alexandria via LeMat-Bulk. Energies are from GGA-PBE.

a = 6.641 Å, b = 6.641 Å, c = 6.641 Å
α = 90.00°, β = 90.00°, γ = 90.00°
Sites, in units of the cell vectors:
Li 0.000 0.000 0.000
Ac 0.000 0.500 0.500
Ac 0.500 0.000 0.500
Ac 0.500 0.500 0.000
Te 0.000 0.000 0.500
Te 0.000 0.500 0.000
Te 0.500 0.000 0.000
Te 0.500 0.500 0.500

Calculated values
calculated density	6.8	g cm⁻³
symmetry	No. 221
M_tot	0.00	μB/atom

ii) Here is a relaxed LiAc3Te4 crystal from Alexandria via LeMat-Bulk. Energies are from GGA-PBE.

a = 10.725 Å, b = 9.545 Å, c = 6.653 Å
α = 90.00°, β = 90.00°, γ = 90.00°
Sites, in units of the cell vectors:
Li 0.000 0.123 0.000
Li 0.500 0.877 0.500
Ac 0.000 0.771 0.570
Ac 0.223 0.341 0.569
Ac 0.277 0.659 0.069
Ac 0.500 0.229 0.070
Ac 0.723 0.659 0.069
Ac 0.777 0.341 0.569
Te 0.000 0.110 0.571
Te 0.000 0.813 0.070
Te 0.203 0.324 0.069
Te 0.297 0.676 0.569
Te 0.500 0.187 0.570
Te 0.500 0.890 0.071
Te 0.703 0.676 0.569
Te 0.797 0.324 0.069

Calculated values
calculated density	5.8	g cm⁻³
symmetry	No. 31
M_tot	0.12	μB/atom

Ordering by calculated energy gives the sequence i), ii), with the first entry being the most stable.

i) Here is a relaxed LiAcTh crystal from Alexandria via LeMat-Bulk. Energies are from GGA-PBE.

a = 18.024 Å, b = 18.024 Å, c = 18.024 Å
α = 11.62°, β = 11.62°, γ = 11.62°
Sites, in units of the cell vectors:
Li 0.146 0.146 0.146
Li 0.854 0.854 0.854
Ac 0.242 0.242 0.242
Ac 0.758 0.758 0.758
Th 0.307 0.307 0.307
Th 0.693 0.693 0.693

Calculated values
calculated density	7.5	g cm⁻³
symmetry	No. 166
M_tot	0.00	μB/atom

ii) Here is a relaxed LiAcTh crystal from Alexandria via LeMat-Bulk. Energies are from GGA-PBE.

a = 3.674 Å, b = 3.674 Å, c = 8.650 Å
α = 90.00°, β = 90.00°, γ = 120.00°
Sites, in units of the cell vectors:
Li 0.000 0.000 0.000
Ac 0.333 0.667 0.662
Th 0.667 0.333 0.314

Calculated values
calculated density	7.7	g cm⁻³
symmetry	No. 156
M_tot	0.00	μB/atom

iii) Here is a relaxed LiAcTh crystal from Alexandria via LeMat-Bulk. Energies are from GGA-PBE.

a = 7.173 Å, b = 7.173 Å, c = 7.173 Å
α = 149.15°, β = 149.15°, γ = 44.19°
Sites, in units of the cell vectors:
Li 0.000 0.000 0.000
Ac 0.665 0.665 0.000
Th 0.356 0.356 0.000

Calculated values
calculated density	8.0	g cm⁻³
symmetry	No. 107
M_tot	0.00	μB/atom

Ordering by calculated energy gives the sequence iii), ii), i), with the first entry being the most stable.